Computed, not measured: Sr5Bi5Pd2 after structural relaxation at the PBE-GGA level of DFT.

a = 17.408 Å, b = 4.766 Å, c = 12.608 Å
α = 90.00°, β = 131.14°, γ = 90.00°
Space group C2/m (No. 12)
Unique sites:
Sr (0.000, 0.000, 0.000)
Sr (0.120, 0.000, 0.423)
Sr (0.199, 0.000, 0.826)
Bi (0.000, 0.500, 0.500)
Bi (0.055, 0.500, 0.829)
Bi (0.248, 0.000, 0.306)
Pd (0.139, 0.500, 0.251)

Output
Energy relative to the elements: -789 meV/atom

Computed, not measured: SrBi2Pd8 after structural relaxation at the PBE-GGA level of DFT.

a = 5.502 Å, b = 5.502 Å, c = 8.874 Å
α = 90.00°, β = 90.00°, γ = 90.00°
Space group P4/mmm (No. 123)
Unique sites:
Sr (0.000, 0.000, 0.000)
Bi (0.000, 0.500, 0.500)
Pd (0.253, 0.253, 0.276)

Output
Energy relative to the elements: 0 meV/atom

Computed, not measured: SrBiPd2 after structural relaxation at the PBE-GGA level of DFT.

a = 5.152 Å, b = 5.152 Å, c = 18.499 Å
α = 90.00°, β = 90.00°, γ = 90.00°
Space group I-42d (No. 122)
Unique sites:
Sr (0.000, 0.000, 0.000)
Bi (0.000, 0.000, 0.500)
Pd (0.053, 0.250, 0.625)

Output
Energy relative to the elements: -352 meV/atom

Computed, not measured: Sr2BiPd9 after structural relaxation at the PBE-GGA level of DFT.

a = 5.4348 Å, b = 5.4348 Å, c = 27.5257 Å
α = 90.00°, β = 90.00°, γ = 120.00°
Space group R-3m (No. 166, hexagonal axes)
Unique sites:
Sr (0.0000, 0.0000, 0.1382)
Bi (0.0000, 0.0000, 0.0000)
Pd (0.0000, 0.0000, 0.3326)
Pd (0.0000, 0.0000, 0.5000)
Pd (0.0007, 0.5004, 0.9165)

Output
Energy relative to the elements: -322 meV/atom

Computed, not measured: Sr3Bi5Pd6 after structural relaxation at the PBE-GGA level of DFT.

a = 4.679 Å, b = 14.261 Å, c = 10.458 Å
α = 90.00°, β = 90.00°, γ = 90.00°
Space group Pmmn (No. 59, origin choice 2)
Unique sites:
Sr (0.250, 0.072, 0.250)
Sr (0.250, 0.750, 0.236)
Bi (0.250, 0.077, 0.878)
Bi (0.250, 0.625, 0.518)
Bi (0.250, 0.750, 0.817)
Pd (0.250, 0.065, 0.608)
Pd (0.250, 0.250, 0.020)
Pd (0.250, 0.250, 0.508)
Pd (0.250, 0.606, 0.990)

Output
Energy relative to the elements: -605 meV/atom

Computed, not measured: Sr2Bi5Pd4 after structural relaxation at the PBE-GGA level of DFT.

a = 13.329 Å, b = 6.523 Å, c = 9.304 Å
α = 90.00°, β = 134.18°, γ = 90.00°
Space group C2/m (No. 12)
Unique sites:
Sr (0.000, 0.000, 0.220)
Bi (0.000, 0.500, 0.000)
Bi (0.192, 0.254, 0.692)
Pd (0.165, 0.500, 0.414)
Pd (0.166, 0.500, 0.916)

Output
Energy relative to the elements: -428 meV/atom

Electronic total energy: -3.973, -4.635, -4.339, -4.820, -4.577, -4.386 (eV per atom)